Entry 1:
Density functional theory data (meta-GGA SCAN) for Ho4ZrAl15 at its PBEsol-relaxed geometry.

Cell and atoms, written as POSCAR:
```
Ho4ZrAl15
1.0
4.172 0.000 0.000
0.000 4.172 0.000
0.000 0.000 20.883
Ho Zr Al
4 1 15
Direct
0.000 0.000 0.101 Ho
0.000 0.000 0.303 Ho
0.000 0.000 0.697 Ho
0.000 0.000 0.899 Ho
0.000 0.000 0.500 Zr
0.000 0.500 0.000 Al
0.000 0.500 0.202 Al
0.000 0.500 0.403 Al
0.000 0.500 0.597 Al
0.000 0.500 0.798 Al
0.500 0.000 0.000 Al
0.500 0.000 0.202 Al
0.500 0.000 0.403 Al
0.500 0.000 0.597 Al
0.500 0.000 0.798 Al
0.500 0.500 0.101 Al
0.500 0.500 0.303 Al
0.500 0.500 0.500 Al
0.500 0.500 0.697 Al
0.500 0.500 0.899 Al
```

Properties
**Space-group type**: P4/mmm
**Volume**: 18.171 Å³ per atom
**Energy relative to the elements**: -0.457 eV per atom
**Crystal system**: tetragonal

---

Entry 2:
Density functional theory data (meta-GGA SCAN) for AlI3 at its PBEsol-relaxed geometry.

Cell and atoms, written as POSCAR:
```
AlI3
1.0
10.177 0.000 0.000
0.000 6.735 0.000
-4.157 0.000 12.346
Al I
4 12
Direct
0.187 0.002 0.046 Al
0.187 0.498 0.546 Al
0.813 0.502 0.454 Al
0.813 0.998 0.954 Al
0.001 0.709 0.393 I
0.001 0.791 0.893 I
0.315 0.229 0.960 I
0.315 0.271 0.460 I
0.319 0.721 0.697 I
0.319 0.779 0.197 I
0.681 0.221 0.803 I
0.681 0.279 0.303 I
0.685 0.729 0.540 I
0.685 0.771 0.040 I
0.999 0.209 0.107 I
0.999 0.291 0.607 I
```

Properties
**Space-group type**: P2_1/c
**Uncorrected formation energy**: -2.718 eV per formula unit
**Volume**: 52.888 Å³ per atom
**Crystal system**: monoclinic

---

Entry 3:
Density functional theory data (meta-GGA SCAN) for AlInI2 at its PBEsol-relaxed geometry.

Cell and atoms, written as POSCAR:
```
AlInI2
1.0
7.559 0.000 0.000
0.000 7.559 0.000
0.000 0.000 14.795
Al In I
4 4 8
Direct
0.000 0.000 0.000 Al
0.000 0.500 0.250 Al
0.500 0.000 0.750 Al
0.500 0.500 0.500 Al
0.000 0.000 0.500 In
0.000 0.500 0.750 In
0.500 0.000 0.250 In
0.500 0.500 0.000 In
0.230 0.250 0.125 I
0.250 0.730 0.375 I
0.250 0.770 0.875 I
0.270 0.250 0.625 I
0.730 0.750 0.625 I
0.750 0.230 0.875 I
0.750 0.270 0.375 I
0.770 0.750 0.125 I
```

Properties
**Space-group type**: I-42d
**Uncorrected formation energy**: 0.174 eV per formula unit
**Volume**: 52.834 Å³ per atom
**Crystal system**: tetragonal

---

Entry 4:
Density functional theory data (meta-GGA SCAN) for AlInMoI2 at its PBEsol-relaxed geometry.

Cell and atoms, written as POSCAR:
```
AlInMoI2
1.0
5.611 0.000 0.000
0.000 5.611 0.000
0.000 0.000 5.228
Al In Mo I
1 1 1 2
Direct
0.000 0.000 0.000 Al
0.000 0.000 0.500 In
0.500 0.500 0.500 Mo
0.000 0.500 0.000 I
0.500 0.000 0.000 I
```

Properties
**Space-group type**: P4/mmm
**Uncorrected formation energy**: 4.235 eV per formula unit
**Volume**: 32.919 Å³ per atom
**Crystal system**: tetragonal

---

Entry 5:
Density functional theory data (meta-GGA SCAN) for Al2InTeI at its PBEsol-relaxed geometry.

Cell and atoms, written as POSCAR:
```
Al2InTeI
1.0
5.509 0.000 0.000
0.000 5.509 0.000
0.000 0.000 5.437
Al In Te I
2 1 1 1
Direct
0.000 0.500 0.000 Al
0.500 0.000 0.000 Al
0.000 0.000 0.000 In
0.000 0.000 0.500 Te
0.500 0.500 0.500 I
```

Properties
**Space-group type**: P4/mmm
**Uncorrected formation energy**: 2.573 eV per formula unit
**Volume**: 33.003 Å³ per atom
**Crystal system**: tetragonal

---

Entry 6:
Density functional theory data (meta-GGA SCAN) for Al2IrI at its PBEsol-relaxed geometry.

Cell and atoms, written as POSCAR:
```
Al2IrI
1.0
5.556 0.000 0.000
0.000 5.556 0.000
0.000 0.000 13.783
Al Ir I
8 4 4
Direct
0.140 0.250 0.125 Al
0.250 0.640 0.375 Al
0.250 0.860 0.875 Al
0.360 0.250 0.625 Al
0.640 0.750 0.625 Al
0.750 0.140 0.875 Al
0.750 0.360 0.375 Al
0.860 0.750 0.125 Al
0.000 0.000 0.000 Ir
0.000 0.500 0.250 Ir
0.500 0.000 0.750 Ir
0.500 0.500 0.500 Ir
0.000 0.000 0.500 I
0.000 0.500 0.750 I
0.500 0.000 0.250 I
0.500 0.500 0.000 I
```

Properties
**Space-group type**: I-42d
**Uncorrected formation energy**: 0.306 eV per formula unit
**Volume**: 26.591 Å³ per atom
**Crystal system**: tetragonal

---

Entry 7:
Density functional theory data (meta-GGA SCAN) for AlSnIrI2 at its PBEsol-relaxed geometry.

Cell and atoms, written as POSCAR:
```
AlSnIrI2
1.0
5.454 0.000 0.000
0.000 5.454 0.000
0.000 0.000 4.679
Al Sn Ir I
1 1 1 2
Direct
0.000 0.000 0.000 Al
0.500 0.500 0.000 Sn
0.000 0.000 0.500 Ir
0.000 0.500 0.500 I
0.500 0.000 0.500 I
```

Properties
**Space-group type**: P4/mmm
**Uncorrected formation energy**: 2.063 eV per formula unit
**Volume**: 27.843 Å³ per atom
**Crystal system**: tetragonal

---

Entry 8:
Density functional theory data (meta-GGA SCAN) for KAlIN2 at its PBEsol-relaxed geometry.

Cell and atoms, written as POSCAR:
```
KAlIN2
1.0
4.153 0.000 0.000
0.000 4.153 0.000
0.000 0.000 5.656
K Al I N
1 1 1 2
Direct
0.000 0.000 0.000 K
0.500 0.500 0.500 Al
0.500 0.500 0.000 I
0.000 0.500 0.500 N
0.500 0.000 0.500 N
```

Properties
**Space-group type**: P4/mmm
**Uncorrected formation energy**: 1.817 eV per formula unit
**Volume**: 19.507 Å³ per atom
**Crystal system**: tetragonal

---

Entry 9:
Density functional theory data (meta-GGA SCAN) for KTa2AlI at its PBEsol-relaxed geometry.

Cell and atoms, written as POSCAR:
```
KTa2AlI
1.0
4.800 0.000 0.000
0.000 4.800 0.000
0.000 0.000 5.521
K Ta Al I
1 2 1 1
Direct
0.000 0.000 0.000 K
0.000 0.500 0.000 Ta
0.500 0.000 0.000 Ta
0.500 0.500 0.500 Al
0.000 0.000 0.500 I
```

Properties
**Space-group type**: P4/mmm
**Uncorrected formation energy**: 15.003 eV per formula unit
**Volume**: 25.438 Å³ per atom
**Crystal system**: tetragonal

---

Entry 10:
Density functional theory data (meta-GGA SCAN) for LaAlSb2I at its PBEsol-relaxed geometry.

Cell and atoms, written as POSCAR:
```
LaAlSb2I
1.0
5.990 0.000 0.000
0.000 5.990 0.000
0.000 0.000 6.087
La Al Sb I
1 1 2 1
Direct
0.000 0.000 0.000 La
0.500 0.500 0.500 Al
0.000 0.500 0.000 Sb
0.500 0.000 0.000 Sb
0.000 0.000 0.500 I
```

Properties
**Space-group type**: P4/mmm
**Uncorrected formation energy**: 1.490 eV per formula unit
**Volume**: 43.688 Å³ per atom
**Crystal system**: tetragonal

---

Entry 11:
Density functional theory data (meta-GGA SCAN) for LiAlZn2I at its PBEsol-relaxed geometry.

Cell and atoms, written as POSCAR:
```
LiAlZn2I
1.0
4.794 0.000 0.000
0.000 4.794 0.000
0.000 0.000 5.641
Li Al Zn I
1 1 2 1
Direct
0.000 0.000 0.000 Li
0.000 0.000 0.500 Al
0.000 0.500 0.500 Zn
0.500 0.000 0.500 Zn
0.500 0.500 0.000 I
```

Properties
**Space-group type**: P4/mmm
**Uncorrected formation energy**: 0.540 eV per formula unit
**Volume**: 25.931 Å³ per atom
**Crystal system**: tetragonal

---

Entry 12:
Density functional theory data (meta-GGA SCAN) for MnAlIO2 at its PBEsol-relaxed geometry.

Cell and atoms, written as POSCAR:
```
MnAlIO2
1.0
3.710 0.000 0.000
0.000 3.710 0.000
0.000 0.000 5.713
Mn Al I O
1 1 1 2
Direct
0.000 0.000 0.000 Mn
0.500 0.500 0.500 Al
0.500 0.500 0.000 I
0.000 0.500 0.500 O
0.500 0.000 0.500 O
```

Properties
**Space-group type**: P4/mmm
**Uncorrected formation energy**: -5.533 eV per formula unit
**Volume**: 15.727 Å³ per atom
**Crystal system**: tetragonal

---

no.,uncorrected energy (eV/atom),calculated density (Mg/m³)
1,-17.60,5.28
2,-30.17,3.20
3,-28.61,3.11
4,-29.05,4.96
5,-24.06,4.26
6,-30.76,5.82
7,-37.24,7.06
8,-13.92,3.76
9,-34.20,7.24
10,-32.13,4.08
11,-14.67,3.74
12,-16.15,5.09